No. 1
Here is NdHg2Ge after structural relaxation from Alexandria via LeMat-Bulk. Energies are from PBE.

The structure in POSCAR format:
```
NdHg2Ge
1.0
0.000 3.670 3.670
3.670 0.000 3.670
3.670 3.670 0.000
Nd Hg Ge
1 2 1
direct
0.000 0.000 0.000 Nd
0.250 0.250 0.250 Hg
0.750 0.750 0.750 Hg
0.500 0.500 0.500 Ge
```

Properties
* excess energy over the best structure of this formula in the dataset: 0.161 eV per atom
* SG: Fm-3m (225)
* V: 24.71 A^3/atom
* energy relative to the elements: -0.251 eV per atom


No. 2
Here is MgB2P after structural relaxation from Alexandria via LeMat-Bulk. Energies are from PBE.

The structure in POSCAR format:
```
MgB2P
1.0
4.521 -1.476 0.000
4.521 1.476 0.000
-2.665 0.000 7.363
Mg B P
2 4 2
direct
0.000 0.000 0.000 Mg
0.210 0.210 0.640 Mg
0.293 0.293 0.016 B
0.430 0.430 0.220 B
0.702 0.702 0.930 B
0.799 0.799 0.191 B
0.505 0.505 0.715 P
0.657 0.657 0.340 P
```

Properties
* excess energy over the best structure of this formula in the dataset: 0.120 eV per atom
* SG: Cm (8)
* V: 12.28 A^3/atom
* energy relative to the elements: 0.021 eV per atom


No. 3
Here is TbHo3Tl2 after structural relaxation from Alexandria via LeMat-Bulk. Energies are from PBE.

The structure in POSCAR format:
```
TbHo3Tl2
1.0
5.081 0.000 0.000
0.000 9.942 0.000
0.000 0.000 6.811
Tb Ho Tl
2 6 4
direct
0.000 0.043 0.000 Tb
0.000 0.957 0.500 Tb
0.000 0.314 0.624 Ho
0.000 0.686 0.124 Ho
0.500 0.189 0.282 Ho
0.500 0.457 0.907 Ho
0.500 0.543 0.407 Ho
0.500 0.811 0.782 Ho
0.000 0.367 0.162 Tl
0.000 0.633 0.662 Tl
0.500 0.134 0.744 Tl
0.500 0.866 0.244 Tl
```

Properties
* excess energy over the best structure of this formula in the dataset: 0.000 eV per atom
* SG: Pmc2_1 (26)
* V: 28.67 A^3/atom
* energy relative to the elements: -0.267 eV per atom


No. 4
Here is TbPa2Si6 after structural relaxation from Alexandria via LeMat-Bulk. Energies are from PBE.

The structure in POSCAR format:
```
TbPa2Si6
1.0
7.033 0.000 0.000
-3.517 6.091 0.000
0.000 0.000 3.932
Tb Pa Si
1 2 6
direct
0.000 0.000 0.000 Tb
0.333 0.667 0.000 Pa
0.667 0.333 0.000 Pa
0.000 0.334 0.500 Si
0.000 0.666 0.500 Si
0.334 0.000 0.500 Si
0.334 0.334 0.500 Si
0.666 0.000 0.500 Si
0.666 0.666 0.500 Si
```

Properties
* SG: P6/mmm (191)
* ΔE_f (raw): -0.5505 eV/atom
* V: 18.72 A^3/atom


No. 5
Here is RbSrLa2Pt after structural relaxation from Alexandria via LeMat-Bulk. Energies are from PBE.

The structure in POSCAR format:
```
RbSrLa2Pt
1.0
5.800 0.000 0.000
0.000 5.800 0.000
0.000 0.000 6.374
Rb Sr La Pt
1 1 2 1
direct
0.000 0.000 0.000 Rb
0.500 0.500 0.000 Sr
0.000 0.500 0.500 La
0.500 0.000 0.500 La
0.500 0.500 0.500 Pt
```

Properties
* SG: P4/mmm (123)
* V: 42.88 A^3/atom
* energy relative to the elements: -0.289 eV per atom


No. 6
Here is InTcTe2 after structural relaxation from Alexandria via LeMat-Bulk. Energies are from PBE.

The structure in POSCAR format:
```
InTcTe2
1.0
-1.636 2.334 6.539
1.636 -2.334 6.539
1.636 2.334 -6.539
In Tc Te
1 1 2
direct
0.000 0.000 0.000 In
0.500 0.500 0.000 Tc
0.330 0.830 0.500 Te
0.670 0.170 0.500 Te
```

Properties
* SG: Immm (71)
* ΔE_f (raw): 0.0699 eV/atom
* V: 24.97 A^3/atom


Let's list total energy in order: -10.99; -20.27; -24.70; -61.11; -19.99; -19.11 eV per formula unit.